Entry 1:
The following is a DFT calculation (GGA-PBE) of Na2CuAgSb2 after structural relaxation.

volume: 24.01 Å³/atom
M_tot: 0.000 μB per formula unit
formation energy (no corrections): -0.202 eV per atom

a = 6.201 Å, b = 6.229 Å, c = 8.659 Å
α = 111.08°, β = 110.98°, γ = 90.00°
Atoms (fractional coordinates):
Cu (0.500, 0.250, 0.000)
Sb (0.169, 0.888, 0.776)
Na (0.395, 0.170, 0.340)
Sb (0.608, 0.388, 0.776)
Ag (0.000, 0.750, 0.000)
Na (0.945, 0.670, 0.340)
Sb (0.392, 0.612, 0.224)
Cu (0.500, 0.750, 0.000)
Na (0.055, 0.330, 0.660)
Sb (0.831, 0.112, 0.224)
Na (0.605, 0.830, 0.660)
Ag (0.000, 0.250, 0.000)



Entry 2:
The following is a DFT calculation (GGA-PBE) of NaCuAgSb after structural relaxation.

volume: 23.20 Å³/atom
energy relative to the lowest polymorph listed for this composition: 0 meV per atom
M_tot: 0.000 μB per formula unit
formation energy (no corrections): -0.021 eV per atom

a = 3.802 Å, b = 3.802 Å, c = 12.841 Å
α = 90.00°, β = 90.00°, γ = 90.00°
Atoms (fractional coordinates):
Cu (0.250, 0.750, 0.000)
Ag (0.750, 0.250, 0.500)
Na (0.250, 0.250, 0.706)
Sb (0.750, 0.750, 0.853)
Ag (0.250, 0.750, 0.500)
Cu (0.750, 0.250, 0.000)
Sb (0.250, 0.250, 0.147)
Na (0.750, 0.750, 0.294)